Run one
# La3Pm2Ho3 | Alexandria via LeMat-Bulk | GGA-PBE | optimized geometry
data_La3Pm2Ho3
_chemical_formula_sum 'La6 Pm4 Ho6'
_space_group_name_H-M_alt 'I m m m'
_space_group_IT_number 71
_space_group_name_Hall '-I 2 2'
_cell_length_a 5.080
_cell_length_b 5.176
_cell_length_c 20.748
_cell_angle_alpha 90.00
_cell_angle_beta 90.00
_cell_angle_gamma 90.00
loop_
_atom_site_label
_atom_site_type_symbol
_atom_site_fract_x
_atom_site_fract_y
_atom_site_fract_z
La1 La 0.000 0.000 0.000
La2 La 0.000 0.500 0.123
Pm1 Pm 0.000 0.000 0.249
Ho1 Ho 0.000 0.000 0.500
Ho2 Ho 0.000 0.500 0.374
# - DOS at the Fermi energy (states/eV per cell) = 27.20
# - magnetization (Bohr magnetons per cell) = 0.0



Run two
# La3Pm2Ho3 | Alexandria via LeMat-Bulk | GGA-PBE | optimized geometry
data_La3Pm2Ho3
_chemical_formula_sum 'La6 Pm4 Ho6'
_space_group_name_H-M_alt 'C 1 2/m 1'
_space_group_IT_number 12
_space_group_name_Hall '-C 2y'
_cell_length_a 16.509
_cell_length_b 5.873
_cell_length_c 6.099
_cell_angle_alpha 90.00
_cell_angle_beta 111.03
_cell_angle_gamma 90.00
loop_
_atom_site_label
_atom_site_type_symbol
_atom_site_fract_x
_atom_site_fract_y
_atom_site_fract_z
La1 La 0.000 0.000 0.000
La2 La 0.136 0.000 0.697
Pm1 Pm 0.249 0.500 0.681
Ho1 Ho 0.000 0.500 0.500
Ho2 Ho 0.130 0.500 0.082
# - DOS at the Fermi energy (states/eV per cell) = 26.30
# - magnetization (Bohr magnetons per cell) = 0.0



The structure with the greatest stability is run one.



Run one
# LaPmHo3 | Alexandria via LeMat-Bulk | GGA-PBE | optimized geometry
data_LaPmHo3
_chemical_formula_sum 'La2 Pm2 Ho6'
_space_group_name_H-M_alt 'P -1'
_space_group_IT_number 2
_space_group_name_Hall '-P 1'
_cell_length_a 6.304
_cell_length_b 6.817
_cell_length_c 8.556
_cell_angle_alpha 103.02
_cell_angle_beta 111.54
_cell_angle_gamma 90.10
loop_
_atom_site_label
_atom_site_type_symbol
_atom_site_fract_x
_atom_site_fract_y
_atom_site_fract_z
La1 La 0.182 0.445 0.203
Pm1 Pm 0.018 0.946 0.202
Ho1 Ho 0.219 0.347 0.600
Ho2 Ho 0.380 0.852 0.601
Ho3 Ho 0.417 0.752 0.002
# - DOS at the Fermi energy (states/eV per cell) = 16.17
# - magnetization (Bohr magnetons per cell) = 0.0



Run two
# LaPmHo3 | Alexandria via LeMat-Bulk | GGA-PBE | optimized geometry
data_LaPmHo3
_chemical_formula_sum 'La4 Pm4 Ho12'
_space_group_name_H-M_alt 'P n m a'
_space_group_IT_number 62
_space_group_name_Hall '-P 2ac 2n'
_cell_length_a 9.576
_cell_length_b 7.397
_cell_length_c 9.571
_cell_angle_alpha 90.00
_cell_angle_beta 90.00
_cell_angle_gamma 90.00
loop_
_atom_site_label
_atom_site_type_symbol
_atom_site_fract_x
_atom_site_fract_y
_atom_site_fract_z
La1 La 0.000 0.000 0.000
Pm1 Pm 0.174 0.250 0.327
Ho1 Ho 0.123 0.001 0.623
Ho2 Ho 0.172 0.750 0.327
# - DOS at the Fermi energy (states/eV per cell) = 25.96
# - magnetization (Bohr magnetons per cell) = 0.1



The structure with the greatest stability is run one.